1.
La10Si8O3 after structural relaxation. Source: the Alexandria database, functional GGA-PBEsol.

abc: 4.631 10.824 10.824
angles: 120.00 90.00 90.00
Element x y z (fractional)
La  0.000  0.210  0.790
La  0.500  0.500  0.000
La  0.000  0.210  0.421
La  0.000  0.421  0.210
La  0.000  0.000  0.000
La  0.000  0.579  0.790
La  0.000  0.790  0.579
La  0.500  0.500  0.500
La  0.000  0.790  0.210
La  0.500  0.000  0.500
Si  0.500  0.218  0.000
Si  0.500  0.782  0.000
Si  0.500  0.782  0.782
Si  0.500  0.000  0.218
Si  0.500  0.333  0.667
Si  0.500  0.000  0.782
Si  0.500  0.667  0.333
Si  0.500  0.218  0.218
O  0.000  0.500  0.000
O  0.000  0.500  0.500
O  0.000  0.000  0.500

Output
Space-group type   P6/mmm (191)
V   469.9 Å³/cell
Formation energy from raw total energies   -2821 kJ/mol of formula units
Fermi-level density of states   11.6 states/eV/f.u.



2.
Zn after structural relaxation. Source: the Alexandria database, functional GGA-PBEsol.

abc: 2.605 2.605 4.817
angles: 90.00 90.00 120.00
Element x y z (fractional)
Zn  0.333  0.667  0.750
Zn  0.667  0.333  0.250

Output
Space-group type   P6_3/mmc (194)
V   28.3 Å³/cell
Formation energy   0.0000 eV/atom
Fermi-level density of states   0.3 states/eV/f.u.



3.
LiFeF4 after structural relaxation. Source: the Alexandria database, functional GGA-PBEsol.

abc: 7.379 7.392 10.157
angles: 90.00 90.00 90.00
Element x y z (fractional)
Li  0.750  0.549  0.962
Li  0.750  0.137  0.980
Li  0.250  0.637  0.520
Li  0.250  0.049  0.538
Li  0.750  0.951  0.462
Li  0.750  0.363  0.480
Li  0.250  0.863  0.020
Li  0.250  0.451  0.038
Fe  0.004  0.126  0.258
Fe  0.496  0.126  0.258
Fe  0.996  0.626  0.242
Fe  0.504  0.626  0.242
Fe  0.004  0.374  0.758
Fe  0.496  0.374  0.758
Fe  0.504  0.874  0.742
Fe  0.996  0.874  0.742
F  0.082  0.024  0.106
F  0.418  0.024  0.106
F  0.081  0.660  0.068
F  0.419  0.660  0.068
F  0.250  0.098  0.346
F  0.250  0.656  0.316
F  0.568  0.864  0.307
F  0.932  0.864  0.307
F  0.068  0.364  0.193
F  0.432  0.364  0.193
F  0.750  0.156  0.184
F  0.750  0.598  0.154
F  0.919  0.160  0.432
F  0.581  0.160  0.432
F  0.918  0.524  0.394
F  0.582  0.524  0.394
F  0.082  0.476  0.606
F  0.418  0.476  0.606
F  0.419  0.840  0.568
F  0.081  0.840  0.568
F  0.250  0.402  0.846
F  0.250  0.844  0.816
F  0.568  0.636  0.807
F  0.932  0.636  0.807
F  0.068  0.136  0.693
F  0.432  0.136  0.693
F  0.750  0.344  0.684
F  0.750  0.902  0.654
F  0.919  0.340  0.932
F  0.581  0.340  0.932
F  0.582  0.976  0.894
F  0.918  0.976  0.894

Output
Space-group type   Pnma (62)
V   554.0 Å³/cell
Formation energy from raw total energies   -1362 kJ/mol of formula units
Fermi-level density of states   0.1 states/eV/f.u.



4.
TcMoRh2 after structural relaxation. Source: the Alexandria database, functional GGA-PBEsol.

abc: 2.679 3.876 5.359
angles: 90.00 90.00 90.00
Element x y z (fractional)
Mo  0.500  0.500  0.500
Rh  0.000  0.000  0.754
Rh  0.000  0.000  0.246
Tc  0.500  0.500  0.000

Output
Space-group type   Pmmm (47)
V   55.7 Å³/cell
Formation energy   -0.1443 eV/atom
Fermi-level density of states   3.6 states/eV/f.u.



5.
Zr2Ni2Hg after structural relaxation. Source: the Alexandria database, functional GGA-PBEsol.

abc: 3.270 7.099 7.099
angles: 90.00 90.00 90.00
Element x y z (fractional)
Ni  0.000  0.376  0.876
Ni  0.000  0.876  0.624
Ni  0.000  0.624  0.124
Ni  0.000  0.124  0.376
Hg  0.000  0.000  0.000
Hg  0.000  0.500  0.500
Zr  0.500  0.170  0.670
Zr  0.500  0.670  0.830
Zr  0.500  0.830  0.330
Zr  0.500  0.330  0.170

Output
Space-group type   P4/mbm (127)
V   164.8 Å³/cell
Formation energy   -0.4853 eV/atom
Fermi-level density of states   3.8 states/eV/f.u.



6.
MgZnO2 after structural relaxation. Source: the Alexandria database, functional GGA-PBEsol.

abc: 3.009 3.009 5.181
angles: 73.12 73.12 60.00
Element x y z (fractional)
Zn  0.500  0.500  0.500
Mg  0.000  0.000  0.000
O  0.252  0.252  0.244
O  0.748  0.748  0.756

Output
Space-group type   R-3m (166)
V   38.3 Å³/cell
Formation energy from raw total energies   -787 kJ/mol of formula units
Fermi-level density of states   0.0 states/eV/f.u.



7.
Fe2ReIr after structural relaxation. Source: the Alexandria database, functional GGA-PBEsol.

abc: 2.641 4.465 4.594
angles: 99.71 90.00 107.20
Element x y z (fractional)
Fe  0.752  0.504  0.746
Fe  0.248  0.496  0.254
Ir  0.500  0.000  0.000
Re  0.000  0.000  0.500

Output
Space-group type   C2/m (12)
V   50.9 Å³/cell
Formation energy   0.0408 eV/atom
Fermi-level density of states   4.2 states/eV/f.u.



8.
NbOsPb3 after structural relaxation. Source: the Alexandria database, functional GGA-PBEsol.

abc: 5.357 5.357 5.357
angles: 90.00 90.00 90.00
Element x y z (fractional)
Pb  0.000  0.500  0.000
Pb  0.000  0.000  0.500
Pb  0.500  0.000  0.000
Nb  0.000  0.000  0.000
Os  0.500  0.500  0.500

Output
Space-group type   Pm-3m (221)
V   153.7 Å³/cell
Formation energy   1.7917 eV/atom
Fermi-level density of states   7.2 states/eV/f.u.



9.
GeSbRh3 after structural relaxation. Source: the Alexandria database, functional GGA-PBEsol.

abc: 4.758 4.758 4.758
angles: 90.00 90.00 90.00
Element x y z (fractional)
Sb  0.000  0.000  0.000
Ge  0.500  0.500  0.500
Rh  0.000  0.500  0.000
Rh  0.000  0.000  0.500
Rh  0.500  0.000  0.000

Output
Space-group type   Pm-3m (221)
V   107.7 Å³/cell
Formation energy from raw total energies   522 kJ/mol of formula units
Fermi-level density of states   6.9 states/eV/f.u.



10.
SrIr2W after structural relaxation. Source: the Alexandria database, functional GGA-PBEsol.

abc: 3.995 3.995 5.193
angles: 112.62 112.62 90.00
Element x y z (fractional)
Ir  0.000  0.000  0.000
Ir  0.750  0.250  0.500
Sr  0.500  0.500  0.000
W  0.250  0.750  0.500

Output
Space-group type   I-4m2 (119)
V   69.6 Å³/cell
Formation energy   0.7983 eV/atom
Fermi-level density of states   3.6 states/eV/f.u.



11.
TlSnPS2 after structural relaxation. Source: the Alexandria database, functional GGA-PBEsol.

abc: 4.979 5.028 5.028
angles: 90.00 90.00 90.00
Element x y z (fractional)
S  0.000  0.000  0.500
S  0.000  0.500  0.000
P  0.500  0.000  0.000
Tl  0.000  0.000  0.000
Sn  0.500  0.500  0.500

Output
Space-group type   P4/mmm (123)
V   125.8 Å³/cell
Formation energy from raw total energies   345 kJ/mol of formula units
Fermi-level density of states   4.4 states/eV/f.u.



12.
BPOs2 after structural relaxation. Source: the Alexandria database, functional GGA-PBEsol.

abc: 3.992 3.992 3.992
angles: 60.00 60.00 60.00
Element x y z (fractional)
P  0.500  0.500  0.500
B  0.000  0.000  0.000
Os  0.250  0.250  0.250
Os  0.750  0.750  0.750

Output
Space-group type   Fm-3m (225)
V   45.0 Å³/cell
Formation energy   0.1081 eV/atom
Fermi-level density of states   1.5 states/eV/f.u.